No. 1
LiAcPuAu | PBE | optimized geometry

Summary:
- Formation enthalpy at 0 K: -0.124 eV/atom
- SG: F-43m (216)

Unit cell a=5.366 b=5.366 c=5.366 alpha=60.00 beta=60.00 gamma=60.00
Positions (direct):
Li1 0.000 0.000 0.000
Ac1 0.250 0.250 0.250
Pu1 0.750 0.750 0.750
Au1 0.500 0.500 0.500

***

No. 2
CsMnSi3 | PBE | optimized geometry

Summary:
- Energy relative to the lowest polymorph listed for this composition: 60.76 kcal/mol of atoms
- SG: Pm-3m (221)

Unit cell a=5.382 b=5.382 c=5.382 alpha=90.00 beta=90.00 gamma=90.00
Positions (direct):
Cs1 0.000 0.000 0.000
Mn1 0.500 0.500 0.500
Si1 0.000 0.000 0.500
Si2 0.000 0.500 0.000
Si3 0.500 0.000 0.000

***

No. 3
La7CeTl4 | PBE | optimized geometry

Summary:
- Formation enthalpy at 0 K: -0.107 eV/atom
- SG: C2/m (12)

Unit cell a=8.276 b=8.276 c=10.103 alpha=118.53 beta=118.53 gamma=42.45
Positions (direct):
La1 0.000 0.000 0.000
La2 0.254 0.254 0.716
La3 0.309 0.309 0.120
La4 0.431 0.431 0.598
La5 0.569 0.569 0.402
La6 0.691 0.691 0.880
La7 0.746 0.746 0.284
Ce1 0.500 0.500 0.000
Tl1 0.047 0.047 0.708
Tl2 0.183 0.183 0.347
Tl3 0.817 0.817 0.653
Tl4 0.953 0.953 0.292

***

| no. | total magnetic moment (Bohr magnetons per cell) | DFT total energy (eV/atom) |
| --- | --- | --- |
| 1 | 5.92 | -6.0317 |
| 2 | 0.62 | -2.2478 |
| 3 | 1.33 | -4.2650 |